! GGA-PBE Th4Si2C, relaxed; values from VASP
&SYSTEM
  ibrav = 0, nat = 14, ntyp = 3
/
ATOMIC_SPECIES
Th 232.04 Th.upf
Si 28.09 Si.upf
C 12.01 C.upf
CELL_PARAMETERS angstrom
7.0111 0.0000 0.0000
0.0000 6.4601 0.0000
-2.4993 0.0000 8.0170
ATOMIC_POSITIONS angstrom
Th -0.6131 0.0433 2.0005
Th -0.6131 3.1868 2.0005
Th 1.4195 1.6150 4.8758
Th 2.7319 1.6150 0.7971
Th 1.7798 4.8451 7.2199
Th 3.0922 4.8451 3.1412
Th 5.1248 3.2733 6.0165
Th 5.1248 6.4168 6.0165
Si 1.5543 4.8451 0.5154
Si 0.3460 4.8451 4.4975
Si 4.1657 1.6150 3.5195
Si 2.9574 1.6150 7.5016
C -0.3035 1.6150 6.5104
C 4.8152 4.8451 1.5066
! Final energy   -7.411 eV/atom
! Total magnetic moment   0.00 μB per cell
! Raw formation energy   -0.3037 eV/atom
! Volume   25.94 Å³ per atom

! GGA-PBE BaScS2, relaxed; values from VASP
&SYSTEM
  ibrav = 0, nat = 4, ntyp = 3
/
ATOMIC_SPECIES
Ba 137.33 Ba.upf
Sc 44.96 Sc.upf
S 32.06 S.upf
CELL_PARAMETERS angstrom
1.9564 1.1295 7.2603
-1.9564 1.1295 7.2603
0.0000 -2.2590 7.2603
ATOMIC_POSITIONS angstrom
Ba 0.0000 0.0000 0.0000
Sc 0.0000 0.0000 18.0275
S 0.0000 0.0000 4.9717
S 0.0000 0.0000 9.3900
! Final energy   -5.955 eV/atom
! Total magnetic moment   0.00 μB per cell
! ΔE to the lowest computed polymorph   0 meV/atom
! Raw formation energy   -1.8273 eV/atom
! Volume   24.06 Å³ per atom

! GGA-PBE SrCdSn2, relaxed; values from VASP
&SYSTEM
  ibrav = 0, nat = 4, ntyp = 3
/
ATOMIC_SPECIES
Sr 87.62 Sr.upf
Cd 112.41 Cd.upf
Sn 118.71 Sn.upf
CELL_PARAMETERS angstrom
4.0147 0.0000 0.0000
0.0000 4.0147 0.0000
0.0000 0.0000 7.2574
ATOMIC_POSITIONS angstrom
Sr 0.0000 0.0000 0.0000
Cd 0.0000 0.0000 3.6287
Sn 2.0073 2.0073 2.1408
Sn 2.0073 2.0073 5.1166
! Final energy   -2.933 eV/atom
! Formation enthalpy at 0 K   -0.28 eV/atom
! Total magnetic moment   0.00 μB per cell
! Volume   29.24 Å³ per atom

! GGA-PBE Sm2HoGe, relaxed; values from VASP
&SYSTEM
  ibrav = 0, nat = 4, ntyp = 3
/
ATOMIC_SPECIES
Sm 150.36 Sm.upf
Ho 164.93 Ho.upf
Ge 72.64 Ge.upf
CELL_PARAMETERS angstrom
4.7044 0.0000 0.0000
0.0000 4.7044 0.0000
0.0000 0.0000 4.7575
ATOMIC_POSITIONS angstrom
Sm 0.0000 2.3522 0.0000
Sm 2.3522 0.0000 0.0000
Ho 0.0000 0.0000 2.3787
Ge 2.3522 2.3522 2.3787
! Final energy   -4.989 eV/atom
! Formation enthalpy at 0 K   -0.33 eV/atom
! Total magnetic moment   0.00 μB per cell
! ΔE to the lowest computed polymorph   0 meV/atom
! Volume   26.32 Å³ per atom

! GGA-PBE Zr6Bi3Sb, relaxed; values from VASP
&SYSTEM
  ibrav = 0, nat = 20, ntyp = 3
/
ATOMIC_SPECIES
Zr 91.22 Zr.upf
Bi 208.98 Bi.upf
Sb 121.76 Sb.upf
CELL_PARAMETERS angstrom
4.6780 -7.2744 0.0000
4.6780 7.2744 0.0000
0.0000 0.0000 7.4780
ATOMIC_POSITIONS angstrom
Zr 4.6780 6.7062 3.7390
Zr 2.5882 3.0207 0.0461
Zr 2.5591 0.9290 2.3954
Zr 4.6780 3.2335 2.5322
Zr 2.5591 -0.9290 6.1344
Zr 2.5882 -3.0207 3.7852
Zr 6.7678 3.0207 0.0461
Zr 6.7969 0.9290 2.3954
Zr 4.6780 -3.2335 6.2713
Zr 6.7969 -0.9290 6.1344
Zr 6.7678 -3.0207 3.7852
Zr 4.6780 -6.7062 0.0000
Bi 1.6684 1.6614 5.0841
Bi 1.6684 -1.6614 1.3451
Bi 4.6780 0.7828 0.1917
Bi 4.6780 -0.7828 3.9307
Bi 7.6876 1.6614 5.0841
Bi 7.6876 -1.6614 1.3451
Sb 4.6780 4.3549 5.4925
Sb 4.6780 -4.3549 1.7534
! Final energy   -6.930 eV/atom
! Total magnetic moment   0.00 μB per cell
! Raw formation energy   -0.2248 eV/atom
! Volume   25.45 Å³ per atom

! GGA-PBE Y8CoNi2, relaxed; values from VASP
&SYSTEM
  ibrav = 0, nat = 11, ntyp = 3
/
ATOMIC_SPECIES
Y 88.91 Y.upf
Co 58.93 Co.upf
Ni 58.69 Ni.upf
CELL_PARAMETERS angstrom
4.1964 -5.9730 0.0000
4.1964 5.9730 0.0000
-2.1309 0.0000 5.8187
ATOMIC_POSITIONS angstrom
Y 0.0000 0.0000 0.0000
Y 0.0662 1.6179 3.2534
Y 2.5819 2.3263 1.0651
Y 0.0662 -1.6179 3.2534
Y 3.0976 1.6079 4.6153
Y 2.5819 -2.3263 1.0651
Y 3.0976 -1.6079 4.6153
Y 5.1802 0.0000 2.2234
Co 2.1154 0.0000 2.3083
Ni 1.5962 3.7969 4.0118
Ni 1.5962 -3.7969 4.0118
! Final energy   -6.471 eV/atom
! Formation enthalpy at 0 K   -0.07 eV/atom
! Total magnetic moment   0.00 μB per cell
! Volume   26.52 Å³ per atom

! GGA-PBE CrReTc2, relaxed; values from VASP
&SYSTEM
  ibrav = 0, nat = 4, ntyp = 3
/
ATOMIC_SPECIES
Cr 52.00 Cr.upf
Re 186.21 Re.upf
Tc 98.00 Tc.upf
CELL_PARAMETERS angstrom
2.6817 0.0000 0.0000
0.0000 4.1958 0.0000
-1.1701 0.0000 5.0188
ATOMIC_POSITIONS angstrom
Cr 0.0000 0.0000 0.0000
Re 0.7558 0.0000 2.5094
Tc -0.4231 2.0979 3.8159
Tc 1.9347 2.0979 1.2029
! Final energy   -10.552 eV/atom
! Formation enthalpy at 0 K   0.15 eV/atom
! Total magnetic moment   0.00 μB per cell
! Volume   14.12 Å³ per atom

! GGA-PBE Ba2Zn3Sn4Hg, relaxed; values from VASP
&SYSTEM
  ibrav = 0, nat = 10, ntyp = 4
/
ATOMIC_SPECIES
Ba 137.33 Ba.upf
Zn 65.41 Zn.upf
Sn 118.71 Sn.upf
Hg 200.59 Hg.upf
CELL_PARAMETERS angstrom
4.8742 0.0000 0.0000
0.0000 4.8742 0.0000
0.0000 0.0000 11.5098
ATOMIC_POSITIONS angstrom
Ba 0.0000 2.4371 2.8133
Ba 2.4371 0.0000 8.6966
Zn 0.0000 0.0000 0.0000
Zn 0.0000 2.4371 7.2577
Zn 2.4371 0.0000 4.2522
Sn 0.0000 0.0000 5.7549
Sn 0.0000 2.4371 9.9587
Sn 2.4371 0.0000 1.5511
Sn 2.4371 2.4371 5.7549
Hg 2.4371 2.4371 0.0000
! Final energy   -2.798 eV/atom
! Formation enthalpy at 0 K   -0.40 eV/atom
! Total magnetic moment   0.00 μB per cell
! Volume   27.34 Å³ per atom

! GGA-PBE Tb2CeSn, relaxed; values from VASP
&SYSTEM
  ibrav = 0, nat = 4, ntyp = 3
/
ATOMIC_SPECIES
Tb 158.93 Tb.upf
Ce 140.12 Ce.upf
Sn 118.71 Sn.upf
CELL_PARAMETERS angstrom
4.0246 0.0000 0.0000
0.0000 4.0246 0.0000
0.0000 0.0000 7.0633
ATOMIC_POSITIONS angstrom
Tb 0.0000 0.0000 1.5913
Tb 0.0000 0.0000 5.4721
Ce 2.0123 2.0123 3.5317
Sn 2.0123 2.0123 0.0000
! Final energy   -5.080 eV/atom
! Formation enthalpy at 0 K   -0.28 eV/atom
! Total magnetic moment   1.25 μB per cell
! ΔE to the lowest computed polymorph   119 meV/atom
! Volume   28.60 Å³ per atom

! GGA-PBE Sm5Th2N5, relaxed; values from VASP
&SYSTEM
  ibrav = 0, nat = 12, ntyp = 3
/
ATOMIC_SPECIES
Sm 150.36 Sm.upf
Th 232.04 Th.upf
N 14.01 N.upf
CELL_PARAMETERS angstrom
5.9635 -1.7510 0.0000
5.9635 1.7510 0.0000
-3.8091 0.0000 11.7644
ATOMIC_POSITIONS angstrom
Sm 0.0000 0.0000 0.0000
Sm -0.3386 0.0000 6.6103
Sm -0.6434 0.0000 10.3191
Sm 8.7613 0.0000 1.4453
Sm 8.4565 0.0000 5.1541
Th 2.7234 0.0000 8.3653
Th 5.3944 0.0000 3.3991
N 0.5963 0.0000 4.4404
N 4.2701 0.0000 0.8263
N 4.0589 0.0000 5.8822
N 3.8478 0.0000 10.9381
N 7.5215 0.0000 7.3240
! Final energy   -7.702 eV/atom
! Total magnetic moment   0.00 μB per cell
! Raw formation energy   -1.0298 eV/atom
! Volume   20.47 Å³ per atom

! GGA-PBE LaSnPd3, relaxed; values from VASP
&SYSTEM
  ibrav = 0, nat = 5, ntyp = 3
/
ATOMIC_SPECIES
La 138.91 La.upf
Sn 118.71 Sn.upf
Pd 106.42 Pd.upf
CELL_PARAMETERS angstrom
4.9834 0.0000 0.0000
0.0000 4.9834 0.0000
0.0000 0.0000 4.9834
ATOMIC_POSITIONS angstrom
La 0.0000 0.0000 0.0000
Sn 2.4917 2.4917 2.4917
Pd 0.0000 2.4917 2.4917
Pd 2.4917 0.0000 2.4917
Pd 2.4917 2.4917 0.0000
! Final energy   -5.204 eV/atom
! Formation enthalpy at 0 K   -0.30 eV/atom
! Total magnetic moment   0.00 μB per cell
! ΔE to the lowest computed polymorph   375 meV/atom
! Volume   24.75 Å³ per atom

! GGA-PBE RbScGaTe4, relaxed; values from VASP
&SYSTEM
  ibrav = 0, nat = 14, ntyp = 4
/
ATOMIC_SPECIES
Rb 85.47 Rb.upf
Sc 44.96 Sc.upf
Ga 69.72 Ga.upf
Te 127.60 Te.upf
CELL_PARAMETERS angstrom
7.4492 0.0000 0.0000
0.0000 6.5682 0.0000
-3.1779 0.0000 9.8387
ATOMIC_POSITIONS angstrom
Rb 1.5572 1.6420 0.5058
Rb 2.7141 4.9261 9.3330
Sc 0.1569 1.6420 5.4369
Sc 4.1143 4.9261 4.4018
Ga 0.8518 4.9261 3.2783
Ga 3.4195 1.6420 6.5605
Te -1.9926 3.3622 6.8454
Te -1.9926 6.4900 6.8454
Te 1.4783 4.9261 5.7903
Te 2.8406 4.9261 1.6752
Te 1.4307 1.6420 8.1636
Te 2.7929 1.6420 4.0485
Te 6.2638 0.0781 2.9933
Te 6.2638 3.2060 2.9933
! Final energy   -4.004 eV/atom
! Total magnetic moment   0.00 μB per cell
! Raw formation energy   -0.7338 eV/atom
! Volume   34.38 Å³ per atom